The following is a GGA-PBEsol calculation of crystalline Zn2TeSe at its relaxed geometry, from Alexandria via LeMat-Bulk.

The structure in extended XYZ format:
```
4
Lattice="2.0709 1.1957 6.7602 -2.0709 1.1957 6.7602 0.0000 -2.3913 6.7602" Properties=species:S:1:pos:R:3 pbc="T T T"
Zn 0.0000 0.0000 0.0000
Zn 0.0000 0.0000 9.9286
Te 0.0000 0.0000 12.5529
Se 0.0000 0.0000 2.4364
```

Computed properties:
E_tot in eV per atom: -3.14
Space-group type: R3m